Here is an optimized crystal structure of TbGd2H from Alexandria. Energies are from PBE-GGA.

extended XYZ file:
```
4
Lattice="1.810 1.045 8.551 -1.810 1.045 8.551 0.000 -2.090 8.551" Properties=species:S:1:pos:R:3 pbc="T T T"
Tb 0.000 0.000 0.000
Gd 0.000 0.000 5.682
Gd 0.000 0.000 19.972
H 0.000 0.000 12.827
```

Space group: R-3m (166)
Electronic total energy (eV per atom): -9.21
V (Å³ per atom): 24.3

---

Here is an optimized crystal structure of Gd2TcH4 from Alexandria. Energies are from PBE-GGA.

extended XYZ file:
```
7
Lattice="-1.839 1.839 6.141 1.839 -1.839 6.141 1.839 1.839 -6.141" Properties=species:S:1:pos:R:3 pbc="T T T"
Gd 0.000 0.000 1.794
Gd 0.000 0.000 10.487
Tc 0.000 0.000 6.141
H 1.839 0.000 0.000
H 0.000 0.000 4.301
H 0.000 1.839 0.000
H 0.000 0.000 7.981
```

Space group: I4/mmm (139)
Electronic total energy (eV per atom): -7.80
V (Å³ per atom): 11.9

---

Here is an optimized crystal structure of Gd2TeH from Alexandria. Energies are from PBE-GGA.

extended XYZ file:
```
4
Lattice="1.956 1.129 7.013 -1.956 1.129 7.013 0.000 -2.258 7.013" Properties=species:S:1:pos:R:3 pbc="T T T"
Gd 0.000 0.000 4.878
Gd 0.000 0.000 16.160
Te 0.000 0.000 0.000
H 0.000 0.000 10.519
```

Space group: R-3m (166)
Electronic total energy (eV per atom): -9.43
V (Å³ per atom): 23.2

---

Here is an optimized crystal structure of Gd3TeH from Alexandria. Energies are from PBE-GGA.

extended XYZ file:
```
5
Lattice="4.824 0.000 0.000 0.000 4.824 0.000 0.000 0.000 4.824" Properties=species:S:1:pos:R:3 pbc="T T T"
Gd 0.000 0.000 2.412
Gd 0.000 2.412 0.000
Gd 2.412 0.000 0.000
Te 2.412 2.412 2.412
H 0.000 0.000 0.000
```

Space group: Pm-3m (221)
Electronic total energy (eV per atom): -10.29
V (Å³ per atom): 22.4

---

Here is an optimized crystal structure of Gd2Th4H from Alexandria. Energies are from PBE-GGA.

extended XYZ file:
```
7
Lattice="-2.466 2.466 8.541 2.466 -2.466 8.541 2.466 2.466 -8.541" Properties=species:S:1:pos:R:3 pbc="T T T"
Gd 0.000 0.000 2.465
Gd 0.000 0.000 14.617
Th 2.466 0.000 0.000
Th 0.000 0.000 5.904
Th 0.000 2.466 0.000
Th 0.000 0.000 11.178
H 0.000 0.000 8.541
```

Space group: I4/mmm (139)
Electronic total energy (eV per atom): -8.56
V (Å³ per atom): 29.7

---

Here is an optimized crystal structure of Gd2ThH from Alexandria. Energies are from PBE-GGA.

extended XYZ file:
```
4
Lattice="3.388 0.000 0.000 0.000 3.388 0.000 0.000 0.000 8.516" Properties=species:S:1:pos:R:3 pbc="T T T"
Gd 0.000 0.000 1.645
Gd 0.000 0.000 6.871
Th 1.694 1.694 4.258
H 1.694 1.694 0.000
```

Space group: P4/mmm (123)
Electronic total energy (eV per atom): -9.63
V (Å³ per atom): 24.4

---

Here is an optimized crystal structure of Gd2ThH from Alexandria. Energies are from PBE-GGA.

extended XYZ file:
```
4
Lattice="1.807 1.044 8.514 -1.807 1.044 8.514 0.000 -2.087 8.514" Properties=species:S:1:pos:R:3 pbc="T T T"
Gd 0.000 0.000 5.702
Gd 0.000 0.000 19.839
Th 0.000 0.000 0.000
H 0.000 0.000 12.771
```

Space group: R-3m (166)
Electronic total energy (eV per atom): -9.91
V (Å³ per atom): 24.1

---

Here is an optimized crystal structure of Gd3Th5H12 from Alexandria. Energies are from PBE-GGA.

extended XYZ file:
```
80
Lattice="-6.714 6.714 6.714 6.714 -6.714 6.714 6.714 6.714 -6.714" Properties=species:S:1:pos:R:3 pbc="T T T"
Gd 3.357 1.678 0.000
Gd 6.714 3.357 -1.678
Gd 1.678 0.000 3.357
Gd 8.392 0.000 3.357
Gd 0.000 3.357 1.678
Gd 3.357 -1.678 6.714
Gd 3.357 8.392 0.000
Gd 6.714 3.357 5.035
Gd -1.678 6.714 3.357
Gd 5.035 6.714 3.357
Gd 0.000 3.357 8.392
Gd 3.357 5.035 6.714
Th 0.000 0.000 0.000
Th 3.357 3.357 -3.357
Th 3.357 -3.357 3.357
Th 6.714 0.000 0.000
Th 10.071 1.678 0.000
Th 6.714 -3.357 5.035
Th 5.035 6.714 -3.357
Th 5.035 0.000 3.357
Th 3.357 5.035 0.000
Th 6.714 3.357 1.678
Th -3.357 3.357 3.357
Th 0.000 6.714 0.000
Th 0.000 0.000 6.714
Th 3.357 3.357 3.357
Th 0.000 3.357 5.035
Th 3.357 1.678 6.714
Th 1.678 6.714 3.357
Th 1.678 0.000 10.071
Th 0.000 10.071 1.678
Th -3.357 5.035 6.714
H 8.807 -0.026 0.985
H 7.978 -2.372 3.331
H 2.093 0.026 0.985
H 7.978 4.342 -3.331
H 6.740 -0.985 2.093
H 10.045 -1.264 2.372
H 4.342 3.331 -1.264
H 5.729 2.093 -0.026
H 0.985 2.093 0.026
H 9.086 3.383 -1.264
H 0.026 0.985 2.093
H 3.331 -1.264 4.342
H 6.740 5.729 -2.093
H 3.331 1.264 2.372
H 2.372 3.331 1.264
H 7.699 4.621 -0.026
H 4.342 -3.331 7.978
H 5.729 -2.093 6.740
H 3.331 7.978 -2.372
H 6.740 0.985 4.621
H 1.264 2.372 3.331
H 2.093 -0.026 5.729
H 2.093 6.740 -0.985
H 7.978 2.372 3.383
H -1.264 4.342 3.331
H 4.621 -0.026 7.699
H 4.621 6.740 0.985
H 5.450 4.342 3.383
H -0.026 5.729 2.093
H 3.383 -1.264 9.086
H 0.985 8.807 -0.026
H 2.372 10.045 -1.264
H -0.985 2.093 6.740
H 4.342 3.383 5.450
H 3.383 5.450 4.342
H -0.026 0.985 8.807
H 3.383 7.978 2.372
H 6.688 5.729 4.621
H -2.372 3.331 7.978
H 5.729 4.621 6.688
H 0.985 4.621 6.740
H 2.372 3.383 7.978
H -3.331 7.978 4.342
H -0.026 7.699 4.621
H -1.264 2.372 10.045
H 4.621 6.688 5.729
H -1.264 9.086 3.383
H -2.093 6.740 5.729
```

Space group: Ia-3d (230)
Electronic total energy (eV per atom): -6.36
V (Å³ per atom): 15.1

---

Among the records above, which one has the lowest V?
Gd2TcH4